# 1
Compound: TbCe2Sm3S6
Source: Alexandria via LeMat-Bulk
Functional: GGA-PBE
Structure: relaxed

Properties
raw formation energy: -2034 meV/atom
space group: C2/m

Structure (extended XYZ):
```
12
Lattice="3.461 -6.002 0.000 3.461 6.002 0.000 -2.321 0.000 6.536" Properties=species:S:1:pos:R:3 pbc="T T T"
Tb 0.000 0.000 0.000
Ce 3.461 1.996 0.000
Ce 3.461 -1.996 0.000
Sm 2.301 4.002 3.268
Sm 2.301 0.000 3.268
Sm 2.301 -4.002 3.268
S 1.135 1.976 1.624
S -0.041 0.000 4.909
S 1.135 -1.976 1.624
S 3.467 1.976 4.912
S 4.642 0.000 1.627
S 3.467 -1.976 4.912
```



# 2
Compound: Tc3BiPt
Source: Alexandria via LeMat-Bulk
Functional: GGA-PBE
Structure: relaxed

Properties
space group: Pm-3m
energy relative to the elements: 12.933 eV/f.u.

Structure (extended XYZ):
```
5
Lattice="4.884 0.000 0.000 0.000 4.884 0.000 0.000 0.000 4.884" Properties=species:S:1:pos:R:3 pbc="T T T"
Tc 0.000 0.000 2.442
Tc 0.000 2.442 0.000
Tc 2.442 0.000 0.000
Bi 0.000 0.000 0.000
Pt 2.442 2.442 2.442
```



no.,E (eV for the cell shown)
1,-79.83
2,-28.09